VASP calculation (PBE+U) on a relaxed structure of EuCrO3.

a b c (Å): 3.882 3.882 3.882
angles (deg): 90.00 90.00 90.00
Space group Pm-3m (No. 221)
Symmetry-distinct sites (fractional):
Eu1 0.000 0.000 0.000 [1 per cell]
Cr1 0.500 0.500 0.500 [1 per cell]
O1 0.000 0.500 0.500 [3 per cell]

Total DFT energy (no corrections), eV/atom: -8.8442
Magnetic moment, μB per formula unit: 9.000
Mass density, g/cm3: 7.2